Record 1
This record from Alexandria describes a relaxed structure of CuPbSe2. The functional is GGA-PBE.

## Properties
**V**: 24.6 Å³/atom
**Spin magnetization**: 0.0 μB per cell
**Electronic total energy**: -3.94 eV per atom
**N(E_F)**: 1.8 states/eV/cell
**Energy relative to the elements, uncorrected**: -245 meV per atom
**SG**: C2/m, No. 12

Lattice parameters (Å, degrees): 4.373 4.373 7.511 115.01 115.01 50.86
Fractional coordinates of all 4 atoms:
1 Cu 0.000 0.000 0.000
2 Pb 0.500 0.500 0.500
3 Se 0.316 0.316 0.787
4 Se 0.684 0.684 0.213

***

Record 2
This record from Alexandria describes a relaxed structure of MnReAs2. The functional is GGA-PBE.

## Properties
**V**: 15.3 Å³/atom
**Spin magnetization**: 2.6 μB per cell
**Electronic total energy**: -7.67 eV per atom
**Energy relative to the lowest polymorph listed for this composition**: 0.0076 eV/atom
**N(E_F)**: 1.2 states/eV/cell
**SG**: P4mm, No. 99
**ΔE_f**: 0.3 eV per formula unit

Lattice parameters (Å, degrees): 3.256 3.256 5.761 90.00 90.00 90.00
Fractional coordinates of all 4 atoms:
1 Mn 0.000 0.000 0.000
2 Re 0.500 0.500 0.311
3 As 0.000 0.000 0.511
4 As 0.500 0.500 0.862

***

Record 3
This record from Alexandria describes a relaxed structure of LaCd2Br8. The functional is GGA-PBE.

## Properties
**V**: 34.1 Å³/atom
**Spin magnetization**: 0.0 μB per cell
**Electronic total energy**: -2.86 eV per atom
**N(E_F)**: 6.9 states/eV/cell
**Energy relative to the elements, uncorrected**: -1033 meV per atom
**SG**: I422, No. 97

Lattice parameters (Å, degrees): 8.510 8.510 8.510 127.59 127.59 77.28
Fractional coordinates of all 11 atoms:
1 La 0.000 0.000 0.000
2 Cd 0.250 0.750 0.500
3 Cd 0.750 0.250 0.500
4 Br 0.068 0.580 0.878
5 Br 0.189 0.068 0.488
6 Br 0.299 0.420 0.488
7 Br 0.420 0.932 0.122
8 Br 0.580 0.701 0.512
9 Br 0.701 0.189 0.122
10 Br 0.811 0.299 0.878
11 Br 0.932 0.811 0.512

***

Record 4
This record from Alexandria describes a relaxed structure of PrNdDy2Y6. The functional is GGA-PBE.

## Properties
**V**: 33.3 Å³/atom
**Spin magnetization**: 0.0 μB per cell
**Electronic total energy**: -5.63 eV per atom
**N(E_F)**: 31.8 states/eV/cell
**SG**: C2/c, No. 15
**ΔE_f**: 1.2 eV per formula unit

Lattice parameters (Å, degrees): 8.845 8.845 9.644 93.86 93.86 117.12
Fractional coordinates of all 20 atoms:
1 Pr 0.028 0.972 0.750
2 Pr 0.972 0.028 0.250
3 Nd 0.409 0.591 0.250
4 Nd 0.591 0.409 0.750
5 Dy 0.195 0.297 0.549
6 Dy 0.297 0.195 0.049
7 Dy 0.703 0.805 0.951
8 Dy 0.805 0.703 0.451
9 Y 0.019 0.566 0.681
10 Y 0.118 0.752 0.057
11 Y 0.248 0.882 0.443
12 Y 0.295 0.513 0.884
13 Y 0.434 0.981 0.819
14 Y 0.487 0.705 0.616
15 Y 0.513 0.295 0.384
16 Y 0.566 0.019 0.181
17 Y 0.705 0.487 0.116
18 Y 0.752 0.118 0.557
19 Y 0.882 0.248 0.943
20 Y 0.981 0.434 0.319